1.
This record from Alexandria via LeMat-Bulk describes a relaxed structure of TlRe2W. The functional is PBE-GGA.

Values from the calculation:
Energy relative to the elements = 0.628 eV/atom
DFT total energy = -9.4259 eV per atom
Crystal system = trigonal
Magnetic moment = 0.00 μB per formula unit

Cell lengths 2.9053, 2.9053, 28.1417 Å; angles 90.00, 90.00, 120.00 degrees
Space group R-3m (No. 166, hexagonal axes)
Inequivalent atoms, fractional coordinates:
Tl 0.0000 0.0000 0.0000 (multiplicity 3)
Re 0.0000 0.0000 0.2432 (multiplicity 6)
W 0.0000 0.0000 0.5000 (multiplicity 3)

=====

2.
This record from Alexandria via LeMat-Bulk describes a relaxed structure of ZnSn3Os. The functional is PBE-GGA.

Values from the calculation:
Energy relative to the elements = 1.318 eV/atom
DFT total energy = -3.5844 eV per atom
Crystal system = cubic
Magnetic moment = 1.75 μB per formula unit

Cell lengths 5.042, 5.042, 5.042 Å; angles 90.00, 90.00, 90.00 degrees
Space group Pm-3m (No. 221)
Inequivalent atoms, fractional coordinates:
Zn 0.000 0.000 0.000 (multiplicity 1)
Sn 0.000 0.000 0.500 (multiplicity 3)
Os 0.500 0.500 0.500 (multiplicity 1)